No. 1
An optimized crystal structure of Tm3ScPd2. Source: Alexandria via LeMat-Bulk, functional GGA-PBE.

Geometry as extended XYZ:
```
6
Lattice="3.825 0.000 -1.107 -0.380 4.609 -1.315 0.249 -0.211 8.023" Properties=species:S:1:pos:R:3 pbc="T T T"
Sc 0.000 0.000 0.000
Tm 1.722 2.305 -1.211
Pd 2.424 0.544 1.214
Tm 0.529 3.068 1.827
Tm 3.164 1.331 3.774
Pd 1.269 3.854 4.387
```

The value obtained for the formation energy is -0.567 eV per atom. For the total energy, the calculation gives -5.589 eV/atom. Its density of states at the Fermi level is 1.20 states/eV per atom.

***

No. 2
An optimized crystal structure of ZrTl3Bi3Te8. Source: Alexandria via LeMat-Bulk, functional GGA-PBE.

Geometry as extended XYZ:
```
15
Lattice="-2.452 8.581 0.498 0.196 -4.140 -7.919 -7.046 -2.367 6.105" Properties=species:S:1:pos:R:3 pbc="T T T"
Te -6.823 2.650 0.967
Tl 0.000 0.000 0.000
Bi -3.425 -3.253 -0.907
Tl -1.128 2.220 -3.710
Te -3.830 3.687 -2.169
Zr -3.523 -1.183 3.053
Te -6.666 0.737 -3.073
Te -2.636 1.337 1.757
Te -3.934 5.877 2.021
Te -2.479 -0.576 -2.283
Bi -4.651 1.037 -0.658
Bi -4.749 3.107 3.302
Te -5.368 -3.803 -3.336
Tl 0.098 -2.070 -3.959
Te -5.472 -1.613 0.854
```

The uncorrected formation energy is -0.407 eV per atom. For the total energy, the calculation gives -3.901 eV/atom.

***

No. 3
An optimized crystal structure of BaSr2Zn. Source: Alexandria via LeMat-Bulk, functional GGA-PBE.

Geometry as extended XYZ:
```
8
Lattice="5.579 0.000 -1.547 -0.429 5.563 -1.547 0.121 0.131 11.270" Properties=species:S:1:pos:R:3 pbc="T T T"
Zn 4.138 1.456 4.088
Ba 0.844 0.911 3.042
Sr -0.215 2.781 -0.774
Sr 1.832 1.979 6.606
Ba 4.428 4.783 5.133
Zn 1.134 4.238 4.088
Sr 2.790 0.000 -0.774
Sr 3.439 3.715 1.569
```

The value obtained for the formation energy is -0.097 eV per atom. For the total energy, the calculation gives -1.737 eV/atom. Its density of states at the Fermi level is 1.01 states/eV per atom.

***

No. 4
An optimized crystal structure of Ag2GeBr4. Source: Alexandria via LeMat-Bulk, functional GGA-PBE.

Geometry as extended XYZ:
```
14
Lattice="-7.814 2.419 0.354 2.247 -5.513 5.621 4.599 6.767 1.406" Properties=species:S:1:pos:R:3 pbc="T T T"
Br 1.189 2.680 5.421
Ag 4.069 -1.259 6.279
Ag 0.507 -3.647 4.915
Br -0.213 4.918 2.437
Ag -1.431 7.345 2.419
Br -2.906 3.349 5.143
Br -0.833 -1.287 5.028
Ge -2.946 -1.637 3.162
Br -4.710 -0.426 4.700
Ge -3.162 3.730 2.548
Br -5.645 2.872 2.344
Br -2.058 1.176 1.971
Ag 0.038 0.991 3.688
Br 3.797 4.001 2.506
```

The uncorrected formation energy is -0.413 eV per atom. For the total energy, the calculation gives -2.844 eV/atom. Its density of states at the Fermi level is 0.00 states/eV per atom.

***

No. 5
An optimized crystal structure of Zn2TeOs. Source: Alexandria via LeMat-Bulk, functional GGA-PBE.

Geometry as extended XYZ:
```
4
Lattice="4.504 -0.016 -0.097 3.353 3.007 -0.097 -0.141 -0.054 5.991" Properties=species:S:1:pos:R:3 pbc="T T T"
Os 3.946 1.503 2.515
Te 6.448 2.456 3.910
Zn 7.336 2.794 0.469
Zn 1.698 0.647 1.606
```

The uncorrected formation energy is 0.232 eV per atom. For the total energy, the calculation gives -3.998 eV/atom. Its density of states at the Fermi level is 0.00 states/eV per atom.

***

No. 6
An optimized crystal structure of CaY2F. Source: Alexandria via LeMat-Bulk, functional GGA-PBE.

Geometry as extended XYZ:
```
4
Lattice="-2.681 2.116 -1.410 -2.719 1.232 2.177 3.217 8.764 2.194" Properties=species:S:1:pos:R:3 pbc="T T T"
Y 1.432 6.042 1.504
F -1.091 6.056 1.481
Y -3.613 6.069 1.457
Ca 0.000 0.000 0.000
```

The uncorrected formation energy is -0.915 eV per atom. For the total energy, the calculation gives -5.116 eV/atom. Its density of states at the Fermi level is 1.38 states/eV per atom.

***

No. 7
An optimized crystal structure of NaGa2Rh. Source: Alexandria via LeMat-Bulk, functional GGA-PBE.

Geometry as extended XYZ:
```
8
Lattice="5.364 0.000 0.000 0.000 5.364 0.000 2.682 2.682 7.755" Properties=species:S:1:pos:R:3 pbc="T T T"
Ga 4.023 2.901 5.816
Rh 0.000 0.000 0.000
Ga 5.146 1.341 1.939
Na 2.682 5.364 3.878
Rh 5.364 2.682 3.878
Ga 5.583 4.023 1.939
Na 2.682 2.682 0.000
Ga 6.705 2.464 5.816
```

The value obtained for the formation energy is -0.053 eV per atom. For the total energy, the calculation gives -3.734 eV/atom. Its density of states at the Fermi level is 0.09 states/eV per atom.

***

No. 8
An optimized crystal structure of KRb4Ag. Source: Alexandria via LeMat-Bulk, functional GGA-PBE.

Geometry as extended XYZ:
```
12
Lattice="7.696 -0.003 -2.607 -1.282 8.919 -3.797 0.020 -0.128 12.283" Properties=species:S:1:pos:R:3 pbc="T T T"
Rb 0.508 5.948 1.210
Rb 5.926 2.840 4.669
Rb -0.975 6.784 -2.888
Rb 3.615 7.660 -2.113
Rb 4.256 3.202 -0.215
K 5.191 7.079 2.285
Rb 2.819 1.129 7.991
Ag 4.574 4.316 8.592
Rb -0.307 2.135 -0.909
Ag 1.860 4.472 -2.714
K 1.244 1.709 3.594
Rb 2.178 5.586 6.093
```

The value obtained for the formation energy is 0.029 eV per atom. For the total energy, the calculation gives -1.274 eV/atom. Its density of states at the Fermi level is 0.68 states/eV per atom.

***

No. 9
An optimized crystal structure of MgNpBi2. Source: Alexandria via LeMat-Bulk, functional GGA-PBE.

Geometry as extended XYZ:
```
4
Lattice="-2.125 4.008 0.357 -4.387 0.361 -1.156 -4.030 -0.114 6.301" Properties=species:S:1:pos:R:3 pbc="T T T"
Np -8.365 2.804 5.745
Bi -2.638 1.061 1.385
Bi -3.554 0.288 4.617
Mg -5.287 2.114 2.807
```

The value obtained for the formation energy is 0.058 eV per atom. For the total energy, the calculation gives -5.517 eV/atom. Its density of states at the Fermi level is 2.77 states/eV per atom.

***

No. 10
An optimized crystal structure of CsZnGePSe. Source: Alexandria via LeMat-Bulk, functional GGA-PBE.

Geometry as extended XYZ:
```
5
Lattice="-5.102 -1.638 0.797 0.648 -3.093 -2.208 4.423 -3.062 5.587" Properties=species:S:1:pos:R:3 pbc="T T T"
P 0.105 -4.028 5.673
Ge 4.159 -4.377 3.986
Cs -1.405 -1.755 2.047
Zn 1.303 -2.742 4.223
Se 2.307 -3.417 2.098
```

The uncorrected formation energy is -0.396 eV per atom. For the total energy, the calculation gives -3.524 eV/atom.

***

No. 11
An optimized crystal structure of CsRbIn3. Source: Alexandria via LeMat-Bulk, functional GGA-PBE.

Geometry as extended XYZ:
```
5
Lattice="-1.771 -2.564 -5.900 -3.558 -4.707 3.114 -5.359 3.972 -0.118" Properties=species:S:1:pos:R:3 pbc="T T T"
In -1.779 -2.354 1.557
Rb -5.344 -1.650 -1.452
In -0.885 -1.282 -2.950
In -2.680 1.986 -0.059
Cs 0.000 0.000 0.000
```

The value obtained for the formation energy is 0.655 eV per atom. For the total energy, the calculation gives -1.352 eV/atom. Its density of states at the Fermi level is 1.30 states/eV per atom.

***

No. 12
An optimized crystal structure of La5Y2Ho2. Source: Alexandria via LeMat-Bulk, functional GGA-PBE.

Geometry as extended XYZ:
```
18
Lattice="11.814 0.000 0.000 0.000 6.959 0.000 -5.907 -3.480 7.486" Properties=species:S:1:pos:R:3 pbc="T T T"
La 2.674 -0.863 2.155
Ho 5.907 3.966 0.000
Y 0.080 3.736 1.919
Y 5.827 0.256 1.919
Ho 0.067 0.715 3.743
Ho 0.000 0.487 0.000
Y 5.827 0.256 5.567
Ho 5.839 4.194 3.743
La -2.717 -1.938 6.722
La 2.674 -0.863 5.331
La 3.233 2.617 2.155
La -2.867 -0.732 3.743
La 9.097 5.021 0.764
La 3.233 2.617 5.331
Y 0.080 3.736 5.567
La 8.774 2.747 3.743
La -3.190 1.541 6.722
La 8.623 1.541 0.764
```

The value obtained for the formation energy is 0.201 eV per atom. For the total energy, the calculation gives -4.990 eV/atom. Its density of states at the Fermi level is 1.39 states/eV per atom.

***

Copy entry 12 word for word.
An optimized crystal structure of La5Y2Ho2. Source: Alexandria via LeMat-Bulk, functional GGA-PBE.

Geometry as extended XYZ:
```
18
Lattice="11.814 0.000 0.000 0.000 6.959 0.000 -5.907 -3.480 7.486" Properties=species:S:1:pos:R:3 pbc="T T T"
La 2.674 -0.863 2.155
Ho 5.907 3.966 0.000
Y 0.080 3.736 1.919
Y 5.827 0.256 1.919
Ho 0.067 0.715 3.743
Ho 0.000 0.487 0.000
Y 5.827 0.256 5.567
Ho 5.839 4.194 3.743
La -2.717 -1.938 6.722
La 2.674 -0.863 5.331
La 3.233 2.617 2.155
La -2.867 -0.732 3.743
La 9.097 5.021 0.764
La 3.233 2.617 5.331
Y 0.080 3.736 5.567
La 8.774 2.747 3.743
La -3.190 1.541 6.722
La 8.623 1.541 0.764
```

The value obtained for the formation energy is 0.201 eV per atom. For the total energy, the calculation gives -4.990 eV/atom. Its density of states at the Fermi level is 1.39 states/eV per atom.

***

Q: What is the total energy in the tenth record?
A: -3.524 eV/atom